Density functional theory data (PBE) for an optimized crystal structure of Tb6DyTh2.

Cell: 3.5711 3.5711 26.3713 Å, 90.00 90.00 120.00°
Last column: nearest neighbours and their distance in Å.
Sites, in units of the cell vectors:
Tb1 0.0000 0.0000 0.0635  7 Tb 3.35-3.57, 3 Th 3.51
Tb2 0.0000 0.0000 0.2827  9 Tb 3.54-3.57, 3 Th 3.59
Tb3 0.0000 0.0000 0.7173  9 Tb 3.54-3.57, 3 Th 3.59
Tb4 0.0000 0.0000 0.9365  7 Tb 3.35-3.57, 3 Th 3.51
Tb5 0.3333 0.6667 0.3917  3 Dy 3.52, 9 Tb 3.54-3.57
Tb6 0.3333 0.6667 0.6083  3 Dy 3.52, 9 Tb 3.54-3.57
Dy1 0.0000 0.0000 0.5000  6 Tb 3.52, 6 Dy 3.57
Th1 0.3333 0.6667 0.1711  6 Tb 3.51-3.59, 6 Th 3.57
Th2 0.3333 0.6667 0.8289  6 Tb 3.51-3.59, 6 Th 3.57

space group = P-6m2
Fermi-level density of states = 17.86 states/eV/cell
E = -5.177 eV per atom